[1]
Ho2TmAg PBE optimized geometry; VASP energy = -4.0685 eV/atom; SG = Fm-3m, No. 225; Fermi-level density of states = 3.4 states/eV per cell; DFT formation energy = 0.051 eV per atom
1.0
0.0000 3.7688 3.7688
3.7688 0.0000 3.7688
3.7688 3.7688 0.0000
Ho Tm Ag
2 1 1
Direct
0.2500 0.2500 0.2500
0.7500 0.7500 0.7500
0.0000 0.0000 0.0000
0.5000 0.5000 0.5000

***

[2]
PRu2Br PBE optimized geometry; VASP energy = -6.2301 eV/atom; SG = P2/m, No. 10; E_form (uncorrected) = 0.71 eV/f.u.; Fermi-level density of states = 2.3 states/eV per cell
1.0
3.0309 0.0000 0.0000
0.0000 3.4868 0.0000
-1.2483 0.0000 6.7084
P Ru Br
1 2 1
Direct
0.0000 0.0000 0.0000
0.3225 0.5000 0.1712
0.6775 0.5000 0.8288
0.5000 0.0000 0.5000

***

[3]
ErGeTe3 PBE optimized geometry; VASP energy = -4.3708 eV/atom; SG = Ama2, No. 40; E_form (uncorrected) = -3.25 eV/f.u.; Fermi-level density of states = 4.1 states/eV per cell
1.0
4.3335 0.0000 0.0000
0.0000 12.1777 3.6196
0.0000 -12.1777 3.6196
Er Ge Te
2 2 6
Direct
0.2500 0.1723 0.8277
0.7500 0.8277 0.1723
0.2500 0.3097 0.5615
0.7500 0.5615 0.3097
0.2500 0.0222 0.4738
0.2500 0.3457 0.1947
0.2500 0.7031 0.9178
0.7500 0.1947 0.3457
0.7500 0.4738 0.0222
0.7500 0.9178 0.7031

***

[4]
NpIn2F11 PBE optimized geometry; VASP energy = -5.5205 eV/atom; SG = Ibam, No. 72; E_form (uncorrected) = -38.28 eV/f.u.; Fermi-level density of states = 21.0 states/eV per cell
1.0
-3.8526 5.0800 5.4911
3.8526 -5.0800 5.4911
3.8526 5.0800 -5.4911
Np In F
2 4 22
Direct
0.2500 0.2500 0.0000
0.7500 0.7500 0.0000
0.1791 0.6327 0.8118
0.3209 0.1327 0.4535
0.6791 0.8673 0.5465
0.8209 0.3673 0.1882
0.0000 0.5000 0.5000
0.0238 0.9486 0.2568
0.0708 0.3715 0.1534
0.1918 0.4486 0.9249
0.2181 0.9173 0.8466
0.2195 0.3649 0.5845
0.2805 0.8649 0.1454
0.2819 0.1285 0.6992
0.3082 0.2331 0.2568
0.4292 0.5827 0.3008
0.4762 0.7331 0.9249
0.5000 0.0000 0.5000
0.5238 0.2669 0.0751
0.5708 0.4173 0.6992
0.6918 0.7669 0.7432
0.7181 0.8715 0.3008
0.7195 0.1351 0.8546
0.7805 0.6351 0.4155
0.7819 0.0827 0.1534
0.8082 0.5514 0.0751
0.9292 0.6285 0.8466
0.9762 0.0514 0.7432

***

[5]
SiHg PBE optimized geometry; VASP energy = -2.7170 eV/atom; SG = C2/m, No. 12; E_form (uncorrected) = 0.29 eV/f.u.; Fermi-level density of states = 0.8 states/eV per cell
1.0
3.3069 -1.9122 0.0000
3.3069 1.9122 0.0000
-1.7522 0.0000 7.9454
Si Hg
2 2
Direct
0.1791 0.1791 0.0458
0.8209 0.8209 0.9542
0.3192 0.3192 0.3664
0.6808 0.6808 0.6336

***

[6]
Ag3IO PBE optimized geometry; VASP energy = -3.0419 eV/atom; SG = Pm-3m, No. 221; E_form (uncorrected) = -0.15 eV/f.u.; Fermi-level density of states = 0.4 states/eV per cell
1.0
4.6695 0.0000 0.0000
0.0000 4.6695 0.0000
0.0000 0.0000 4.6695
Ag I O
3 1 1
Direct
0.0000 0.0000 0.5000
0.0000 0.5000 0.0000
0.5000 0.0000 0.0000
0.5000 0.5000 0.5000
0.0000 0.0000 0.0000

***

[7]
Er2Si3Tc2 PBE optimized geometry; VASP energy = -7.1470 eV/atom; SG = C2/m, No. 12; E_form (uncorrected) = -3.90 eV/f.u.; Fermi-level density of states = 4.8 states/eV per cell
1.0
5.3572 -2.0588 0.0000
5.3572 2.0588 0.0000
-3.1996 0.0000 5.5074
Er Si Tc
2 3 2
Direct
0.1470 0.1470 0.2874
0.8530 0.8530 0.7126
0.4049 0.4049 0.0590
0.5000 0.5000 0.5000
0.5951 0.5951 0.9410
0.1469 0.1469 0.7850
0.8531 0.8531 0.2150

***

[8]
PuNp4Pa3As8 PBE optimized geometry; VASP energy = -9.1079 eV/atom; SG = R-3m, No. 166; Fermi-level density of states = 51.6 states/eV per cell; DFT formation energy = -0.872 eV per atom
1.0
4.1222 2.3799 6.6619
-4.1222 2.3799 6.6619
0.0000 -4.7599 6.6619
Pu Np Pa As
1 4 3 8
Direct
0.0000 0.0000 0.0000
0.0000 0.0000 0.5000
0.0000 0.5000 0.0000
0.5000 0.0000 0.0000
0.5000 0.5000 0.5000
0.0000 0.5000 0.5000
0.5000 0.0000 0.5000
0.5000 0.5000 0.0000
0.2504 0.2504 0.2504
0.2505 0.2505 0.7483
0.2505 0.7483 0.2505
0.2517 0.7495 0.7495
0.7483 0.2505 0.2505
0.7495 0.2517 0.7495
0.7495 0.7495 0.2517
0.7496 0.7496 0.7496

***

[9]
Be2AgTe PBE optimized geometry; VASP energy = -3.1287 eV/atom; SG = Pm, No. 6; E_form (uncorrected) = 0.93 eV/f.u.; Fermi-level density of states = 1.3 states/eV per cell
1.0
3.6765 0.0000 0.0000
0.0000 3.6570 0.0000
-1.8068 0.0000 5.6664
Be Ag Te
2 1 1
Direct
0.0000 0.0000 0.0000
0.4952 0.5000 0.9897
0.6325 0.0000 0.2684
0.8544 0.5000 0.7038

***

[10]
Ba3Tl3Ag2 PBE optimized geometry; VASP energy = -2.6250 eV/atom; SG = Cmcm, No. 63; Fermi-level density of states = 14.4 states/eV per cell; DFT formation energy = -0.304 eV per atom
1.0
2.6007 -5.9324 0.0000
2.6007 5.9324 0.0000
0.0000 0.0000 17.8247
Ba Tl Ag
6 6 4
Direct
0.0840 0.9160 0.6048
0.0840 0.9160 0.8952
0.3639 0.6361 0.7500
0.6361 0.3639 0.2500
0.9160 0.0840 0.1048
0.9160 0.0840 0.3952
0.3414 0.6586 0.2500
0.3722 0.6278 0.5411
0.3722 0.6278 0.9589
0.6278 0.3722 0.0411
0.6278 0.3722 0.4589
0.6586 0.3414 0.7500
0.2136 0.7864 0.1035
0.2136 0.7864 0.3965
0.7864 0.2136 0.6035
0.7864 0.2136 0.8965

***

[11]
CsZn2Sb2 PBE optimized geometry; VASP energy = -2.4634 eV/atom; SG = I4/mmm, No. 139; E_form (uncorrected) = -0.67 eV/f.u.; Fermi-level density of states = 1.7 states/eV per cell
1.0
-2.4468 2.4468 5.9237
2.4468 -2.4468 5.9237
2.4468 2.4468 -5.9237
Cs Zn Sb
1 2 2
Direct
0.0000 0.0000 0.0000
0.3905 0.3905 0.0000
0.6095 0.6095 0.0000
0.2500 0.7500 0.5000
0.7500 0.2500 0.5000

***

[12]
BeCu2As PBE optimized geometry; VASP energy = -4.0119 eV/atom; SG = P4/mmm, No. 123; Fermi-level density of states = 1.3 states/eV per cell; DFT formation energy = 0.130 eV per atom
1.0
2.6936 0.0000 0.0000
0.0000 2.6936 0.0000
0.0000 0.0000 7.0878
Be Cu As
1 2 1
Direct
0.0000 0.0000 0.0000
0.5000 0.5000 0.1926
0.5000 0.5000 0.8074
0.0000 0.0000 0.5000